Density functional theory data (GGA+U) for a relaxed structure of Cd3WO.

Calculated values
The excess energy over the best structure of this formula in the dataset is 828 meV/atom. Its total magnetization is 3.5 μB/cell. As for the symmetry: Pm-3m (221).

Cell: 5.6862 5.6862 5.6862 Å, 90.00 90.00 90.00°
Site moments in Bohr magnetons follow the coordinates.
Atoms (fractional coordinates):
Cd  0.0000  0.0000  0.5000  0.01
Cd  0.5000  0.0000  0.0000  0.06
Cd  0.0000  0.5000  0.0000  0.03
O  0.5000  0.5000  0.5000  -1.03
W  0.0000  0.0000  0.0000  3.49